VASP calculation (PBE) on a relaxed RbCuPt3 crystal.

Values from the calculation:
- DOS(E_F) (states/eV/cell) = 3.8
- final energy (eV per atom) = -3.9625
- energy above the lowest structure with this stoichiometry (kcal/mol of atoms) = 0.00
- symmetry = Pm-3m
- energy of formation (meV per atom) = 674.7

```
RbCuPt3
1.0
4.7812 0.0000 0.0000
0.0000 4.7812 0.0000
0.0000 0.0000 4.7812
Rb Cu Pt
1 1 3
Direct
0.0000 0.0000 0.0000 Rb
0.5000 0.5000 0.5000 Cu
0.0000 0.5000 0.5000 Pt
0.5000 0.0000 0.5000 Pt
0.5000 0.5000 0.0000 Pt
```